No. 1
# Er2CuSe4 PBE relaxed
# Calculated volume, Å³/cell: 310
# Fermi-level density of states, states/eV/cell: 2.78
# Energy relative to the elements, uncorrected, meV per atom: -1286
# Mass density, g cm⁻³: 7.64
# Crystal system: monoclinic
# Total magnetization, μB/f.u.: 0.0
data_Er2CuSe4
_cell_length_a 6.9938
_cell_length_b 5.7783
_cell_length_c 8.0134
_cell_angle_alpha 90.00
_cell_angle_beta 106.52
_cell_angle_gamma 90.00
_space_group_name_H-M_alt 'P 1 21/m 1'
_space_group_IT_number 11
loop_
_space_group_symop_operation_xyz
'x,y,z'
'-x,-y,-z'
'-x,y+1/2,-z'
'x,-y+1/2,z'
loop_
_atom_site_label
_atom_site_type_symbol
_atom_site_fract_x
_atom_site_fract_y
_atom_site_fract_z
Er1 Er 0.2251 0.2500 0.4290
Er2 Er 0.2420 0.2500 0.9357
Cu1 Cu 0.2351 0.7500 0.6823
Se1 Se 0.0666 0.7500 0.3813
Se2 Se 0.0708 0.7500 0.9028
Se3 Se 0.4831 0.5089 0.2469

No. 2
# PmYTe2 PBE relaxed
# Calculated volume, Å³/cell: 244
# Fermi-level density of states, states/eV/cell: 3.95
# Energy relative to the elements, uncorrected, meV per atom: -1362
# Mass density, g cm⁻³: 6.67
# Crystal system: triclinic
# Total magnetization, μB/f.u.: 0.0
data_PmYTe2
_cell_length_a 4.3933
_cell_length_b 7.5857
_cell_length_c 7.7613
_cell_angle_alpha 79.53
_cell_angle_beta 89.51
_cell_angle_gamma 73.45
_space_group_name_H-M_alt 'P -1'
_space_group_IT_number 2
loop_
_space_group_symop_operation_xyz
'x,y,z'
'-x,-y,-z'
loop_
_atom_site_label
_atom_site_type_symbol
_atom_site_fract_x
_atom_site_fract_y
_atom_site_fract_z
Pm1 Pm 0.1307 0.2379 0.3843
Y1 Y 0.3797 0.7401 0.1350
Te1 Te 0.0000 0.5000 0.0000
Te2 Te 0.2503 0.9992 0.7683
Te3 Te 0.5000 0.5000 0.5000

No. 3
# BaSr2F PBE relaxed
# Calculated volume, Å³/cell: 476
# Fermi-level density of states, states/eV/cell: 12.00
# Energy relative to the elements, uncorrected, meV per atom: -1112
# Mass density, g cm⁻³: 3.47
# Crystal system: trigonal
# Total magnetization, μB/f.u.: 0.9
data_BaSr2F
_cell_length_a 4.0868
_cell_length_b 4.0868
_cell_length_c 32.9293
_cell_angle_alpha 90.00
_cell_angle_beta 90.00
_cell_angle_gamma 120.00
_space_group_name_H-M_alt 'R -3 m'
_space_group_IT_number 166
_space_group_name_Hall '-R 3 2"'
loop_
_atom_site_label
_atom_site_type_symbol
_atom_site_fract_x
_atom_site_fract_y
_atom_site_fract_z
Ba1 Ba 0.0000 0.0000 0.0000
Sr1 Sr 0.0000 0.0000 0.1181
F1 F 0.0000 0.0000 0.5000

No. 4
# LaAsI2 PBE relaxed
# Calculated volume, Å³/cell: 487
# Fermi-level density of states, states/eV/cell: 15.63
# Energy relative to the elements, uncorrected, meV per atom: -490
# Mass density, g cm⁻³: 6.38
# Crystal system: cubic
# Total magnetization, μB/f.u.: 0.0
data_LaAsI2
_cell_length_a 7.8673
_cell_length_b 7.8673
_cell_length_c 7.8673
_cell_angle_alpha 90.00
_cell_angle_beta 90.00
_cell_angle_gamma 90.00
_space_group_name_H-M_alt 'F m -3 m'
_space_group_IT_number 225
_space_group_name_Hall '-F 4 2 3'
loop_
_atom_site_label
_atom_site_type_symbol
_atom_site_fract_x
_atom_site_fract_y
_atom_site_fract_z
La1 La 0.0000 0.0000 0.0000
As1 As 0.0000 0.0000 0.5000
I1 I 0.2500 0.2500 0.2500

No. 5
# Co2Sb PBE relaxed
# Calculated volume, Å³/cell: 179
# Fermi-level density of states, states/eV/cell: 16.35
# Energy relative to the elements, uncorrected, meV per atom: 164
# Mass density, g cm⁻³: 8.90
# Crystal system: orthorhombic
# Total magnetization, μB/f.u.: 2.5
data_Co2Sb
_cell_length_a 3.2230
_cell_length_b 5.1754
_cell_length_c 10.7273
_cell_angle_alpha 90.00
_cell_angle_beta 90.00
_cell_angle_gamma 90.00
_space_group_name_H-M_alt 'I m m m'
_space_group_IT_number 71
_space_group_name_Hall '-I 2 2'
loop_
_atom_site_label
_atom_site_type_symbol
_atom_site_fract_x
_atom_site_fract_y
_atom_site_fract_z
Co1 Co 0.0000 0.0000 0.1173
Co2 Co 0.0000 0.2386 0.5000
Sb1 Sb 0.0000 0.5000 0.1747

No. 6
# Ta2Tl2P7HO24 PBE relaxed
# Calculated volume, Å³/cell: 1091
# Fermi-level density of states, states/eV/cell: 0.00
# Raw total energy, eV per atom: -7.42
# Mass density, g cm⁻³: 4.18
# Crystal system: monoclinic
# Total magnetization, μB/f.u.: 0.0
data_Ta2Tl2P7HO24
_cell_length_a 5.2194
_cell_length_b 19.0362
_cell_length_c 11.0359
_cell_angle_alpha 90.00
_cell_angle_beta 95.52
_cell_angle_gamma 90.00
_space_group_name_H-M_alt 'P 1 21/m 1'
_space_group_IT_number 11
loop_
_space_group_symop_operation_xyz
'x,y,z'
'-x,-y,-z'
'-x,y+1/2,-z'
'x,-y+1/2,z'
loop_
_atom_site_label
_atom_site_type_symbol
_atom_site_fract_x
_atom_site_fract_y
_atom_site_fract_z
Ta1 Ta 0.2004 0.0219 0.3024
Tl1 Tl 0.1701 0.7500 0.2140
Tl2 Tl 0.2845 0.2500 0.5181
P1 P 0.1781 0.1264 0.0383
P2 P 0.2638 0.5965 0.5443
P3 P 0.3287 0.0841 0.8026
P4 P 0.3841 0.2500 0.1693
H1 H 0.1805 0.7500 0.7741
O1 O 0.0228 0.5876 0.6171
O2 O 0.0621 0.6580 0.0186
O3 O 0.1005 0.0355 0.7561
O4 O 0.1542 0.2500 0.2388
O5 O 0.1589 0.0795 0.1504
O6 O 0.2487 0.5341 0.4505
O7 O 0.2801 0.6666 0.4860
O8 O 0.3102 0.1577 0.7580
O9 O 0.3325 0.0791 0.9504
O10 O 0.3597 0.7500 0.7479
O11 O 0.3984 0.1843 0.0798
O12 O 0.4224 0.5440 0.2192
O13 O 0.5000 0.0790 0.3615

Repeat the first record exactly.
# Er2CuSe4 PBE relaxed
# Calculated volume, Å³/cell: 310
# Fermi-level density of states, states/eV/cell: 2.78
# Energy relative to the elements, uncorrected, meV per atom: -1286
# Mass density, g cm⁻³: 7.64
# Crystal system: monoclinic
# Total magnetization, μB/f.u.: 0.0
data_Er2CuSe4
_cell_length_a 6.9938
_cell_length_b 5.7783
_cell_length_c 8.0134
_cell_angle_alpha 90.00
_cell_angle_beta 106.52
_cell_angle_gamma 90.00
_space_group_name_H-M_alt 'P 1 21/m 1'
_space_group_IT_number 11
loop_
_space_group_symop_operation_xyz
'x,y,z'
'-x,-y,-z'
'-x,y+1/2,-z'
'x,-y+1/2,z'
loop_
_atom_site_label
_atom_site_type_symbol
_atom_site_fract_x
_atom_site_fract_y
_atom_site_fract_z
Er1 Er 0.2251 0.2500 0.4290
Er2 Er 0.2420 0.2500 0.9357
Cu1 Cu 0.2351 0.7500 0.6823
Se1 Se 0.0666 0.7500 0.3813
Se2 Se 0.0708 0.7500 0.9028
Se3 Se 0.4831 0.5089 0.2469

- The lowest mass density belongs to which entry?
  BaSr2F